No. 1
# Ca2LaSc, relaxed, DFT PBE-GGA
data_Ca2LaSc
_cell_length_a 3.785
_cell_length_b 3.782
_cell_length_c 10.016
_cell_angle_alpha 90.00
_cell_angle_beta 90.06
_cell_angle_gamma 90.00
_space_group_name_H-M_alt 'P 1 m 1'
_space_group_IT_number 6
_space_group_name_Hall 'P -2y'
loop_
_atom_site_label
_atom_site_fract_x
_atom_site_fract_y
_atom_site_fract_z
Ca1 0.000 0.000 0.000
Ca2 0.499 0.500 0.285
La1 0.500 0.500 0.721
Sc1 0.000 0.000 0.515
# **DOS at the Fermi energy**: 5.05 states/eV/cell
# **E_form**: 0.082 eV per atom
# **Total energy**: -3.733 eV/atom

---

No. 2
# La2TeP, relaxed, DFT PBE-GGA
data_La2TeP
_cell_length_a 7.596
_cell_length_b 7.596
_cell_length_c 7.596
_cell_angle_alpha 90.00
_cell_angle_beta 90.00
_cell_angle_gamma 90.00
_space_group_name_H-M_alt 'F m -3 m'
_space_group_IT_number 225
_space_group_name_Hall '-F 4 2 3'
loop_
_atom_site_label
_atom_site_fract_x
_atom_site_fract_y
_atom_site_fract_z
La1 0.250 0.250 0.250
Te1 0.000 0.000 0.000
P1 0.000 0.000 0.500
# **DOS at the Fermi energy**: 11.54 states/eV/cell
# **Formation energy from raw total energies**: -1.2758 eV per atom
# **Total energy**: -5.877 eV/atom

---

No. 3
# TbCePS, relaxed, DFT PBE-GGA
data_TbCePS
_cell_length_a 4.0241
_cell_length_b 4.0241
_cell_length_c 19.7561
_cell_angle_alpha 90.00
_cell_angle_beta 90.00
_cell_angle_gamma 120.00
_space_group_name_H-M_alt 'R 3 m'
_space_group_IT_number 160
_space_group_name_Hall 'R 3 -2"'
loop_
_atom_site_label
_atom_site_fract_x
_atom_site_fract_y
_atom_site_fract_z
Tb1 0.0000 0.0000 0.0000
Ce1 0.0000 0.0000 0.5031
P1 0.0000 0.0000 0.2533
S1 0.0000 0.0000 0.7492
# **DOS at the Fermi energy**: 17.11 states/eV/cell
# **Formation energy from raw total energies**: -1.8327 eV per atom
# **Total energy**: -6.858 eV/atom

---

No. 4
# ZrTeHI2, relaxed, DFT PBE-GGA
data_ZrTeHI2
_cell_length_a 5.857
_cell_length_b 5.857
_cell_length_c 5.550
_cell_angle_alpha 90.00
_cell_angle_beta 90.00
_cell_angle_gamma 90.00
_space_group_name_H-M_alt 'P 4/m m m'
_space_group_IT_number 123
_space_group_name_Hall '-P 4 2'
loop_
_atom_site_label
_atom_site_fract_x
_atom_site_fract_y
_atom_site_fract_z
Zr1 0.000 0.000 0.000
Te1 0.000 0.000 0.500
H1 0.500 0.500 0.500
I1 0.000 0.500 0.000
# **DOS at the Fermi energy**: 1.50 states/eV/cell
# **Total energy**: -3.649 eV/atom